1.
First-principles (GGA-PBE) data for a relaxed structure of AcUC, as listed in Alexandria via LeMat-Bulk.

Output
Polymorph energy (0 for the lowest one) (meV per atom): 136.5
Formation enthalpy at 0 K (eV/atom): 0.2830
Electronic total energy (Ry/atom): -0.582

Cell: 3.6060 3.6060 6.5779 Å, 90.00 90.00 120.00°
Space group P3m1 (No. 156)
One atom of each set of equivalent atoms:
Ac1 0.0000 0.0000 0.0000 (multiplicity 1)
U1 0.6667 0.3333 0.5391 (multiplicity 1)
C1 0.3333 0.6667 0.7082 (multiplicity 1)

2.
First-principles (GGA-PBE) data for a relaxed structure of AcUC, as listed in Alexandria via LeMat-Bulk.

Output
Polymorph energy (0 for the lowest one) (meV per atom): 0.0
Formation enthalpy at 0 K (eV/atom): 0.1465
Electronic total energy (Ry/atom): -0.592

Cell: 6.458 3.726 11.736 Å, 90.00 99.97 90.00°
Space group C2/m (No. 12)
One atom of each set of equivalent atoms:
Ac1 0.101 0.000 0.325 (multiplicity 4)
U1 0.186 0.500 0.064 (multiplicity 4)
C1 0.114 0.500 0.830 (multiplicity 4)

3.
First-principles (GGA-PBE) data for a relaxed structure of AcUC, as listed in Alexandria via LeMat-Bulk.

Output
Polymorph energy (0 for the lowest one) (meV per atom): 412.0
Formation enthalpy at 0 K (eV/atom): 0.5585
Electronic total energy (Ry/atom): -0.562

Cell: 3.278 3.278 12.573 Å, 90.00 90.00 90.00°
Space group I4mm (No. 107)
One atom of each set of equivalent atoms:
Ac1 0.000 0.000 0.000 (multiplicity 2)
U1 0.000 0.000 0.750 (multiplicity 2)
C1 0.000 0.000 0.311 (multiplicity 2)

4.
First-principles (GGA-PBE) data for a relaxed structure of AcVC, as listed in Alexandria via LeMat-Bulk.

Output
Formation enthalpy at 0 K (eV/atom): 0.3628
Electronic total energy (Ry/atom): -0.523

Cell: 6.587 3.230 11.173 Å, 90.00 90.00 90.00°
Space group Pnma (No. 62)
One atom of each set of equivalent atoms:
Ac1 0.115 0.250 0.153 (multiplicity 4)
V1 0.130 0.250 0.440 (multiplicity 4)
C1 0.217 0.250 0.892 (multiplicity 4)

5.
First-principles (GGA-PBE) data for a relaxed structure of AcWC2, as listed in Alexandria via LeMat-Bulk.

Output
Formation enthalpy at 0 K (eV/atom): 0.3615
Electronic total energy (Ry/atom): -0.626

Cell: 3.3322 3.3322 18.3452 Å, 90.00 90.00 120.00°
Space group R-3m (No. 166, hexagonal axes)
One atom of each set of equivalent atoms:
Ac1 0.0000 0.0000 0.0000 (multiplicity 3)
W1 0.0000 0.0000 0.5000 (multiplicity 3)
C1 0.0000 0.0000 0.2285 (multiplicity 6)

6.
First-principles (GGA-PBE) data for a relaxed structure of AcWC, as listed in Alexandria via LeMat-Bulk.

Output
Formation enthalpy at 0 K (eV/atom): 0.4183
Electronic total energy (Ry/atom): -0.613

Cell: 6.695 3.237 11.747 Å, 90.00 90.00 90.00°
Space group Pnma (No. 62)
One atom of each set of equivalent atoms:
Ac1 0.128 0.250 0.146 (multiplicity 4)
W1 0.135 0.250 0.432 (multiplicity 4)
C1 0.194 0.250 0.893 (multiplicity 4)

7.
First-principles (GGA-PBE) data for a relaxed structure of AcY2C, as listed in Alexandria via LeMat-Bulk.

Output
Formation enthalpy at 0 K (eV/atom): -0.0805
Electronic total energy (Ry/atom): -0.488

Cell: 3.6282 3.6282 30.5998 Å, 90.00 90.00 120.00°
Space group R-3m (No. 166, hexagonal axes)
One atom of each set of equivalent atoms:
Ac1 0.0000 0.0000 0.0000 (multiplicity 3)
Y1 0.0000 0.0000 0.1230 (multiplicity 6)
C1 0.0000 0.0000 0.5000 (multiplicity 3)

8.
First-principles (GGA-PBE) data for a relaxed structure of AcYC, as listed in Alexandria via LeMat-Bulk.

Output
Polymorph energy (0 for the lowest one) (meV per atom): 87.6
Formation enthalpy at 0 K (eV/atom): 0.0428
Electronic total energy (Ry/atom): -0.482

Cell: 3.736 7.879 12.507 Å, 90.00 90.00 90.00°
Space group Immm (No. 71)
One atom of each set of equivalent atoms:
Ac1 0.000 0.241 0.000 (multiplicity 4)
Y1 0.000 0.500 0.265 (multiplicity 4)
C1 0.000 0.500 0.445 (multiplicity 4)

What is the formula in the eighth record? AcYC

Repeat the second record exactly.
First-principles (GGA-PBE) data for a relaxed structure of AcUC, as listed in Alexandria via LeMat-Bulk.

Output
Polymorph energy (0 for the lowest one) (meV per atom): 0.0
Formation enthalpy at 0 K (eV/atom): 0.1465
Electronic total energy (Ry/atom): -0.592

Cell: 6.458 3.726 11.736 Å, 90.00 99.97 90.00°
Space group C2/m (No. 12)
One atom of each set of equivalent atoms:
Ac1 0.101 0.000 0.325 (multiplicity 4)
U1 0.186 0.500 0.064 (multiplicity 4)
C1 0.114 0.500 0.830 (multiplicity 4)

Which formula does entry 7 have? AcY2C

Which formula does entry 4 have? AcVC